Material: UHBr3
Method: DFT, PBE-GGA
State: relaxed

abc: 7.4658 6.6215 14.2046
angles: 90.00 91.66 90.00
With the nearest neighbours (Å) after each atom.
Fractional positions:
U: 0.0808 0.5143 0.6480  2 H 2.09-2.11
U: 0.9192 0.5143 0.8520  2 H 2.09-2.11
U: 0.0808 0.4857 0.1480  2 H 2.09-2.11
U: 0.9192 0.4857 0.3520  2 H 2.09-2.11
Br: 0.6462 0.7664 0.8783  1 U 2.67, 1 H 2.96
Br: 0.8542 0.7318 0.5148  2 U 2.88-2.89, 1 H 3.00
Br: 0.3538 0.7664 0.6217  1 U 2.67, 1 H 2.96
Br: 0.6462 0.2336 0.3783  1 U 2.67, 1 H 2.96
Br: 0.2273 0.2733 0.7984  1 H 2.79, 2 U 2.86-2.92
Br: 0.3538 0.2336 0.1217  1 U 2.67, 1 H 2.96
Br: 0.7727 0.2733 0.7016  1 H 2.79, 2 U 2.86-2.92
Br: 0.8542 0.2682 0.0148  2 U 2.88-2.89, 1 H 3.00
Br: 0.2273 0.7267 0.2984  1 H 2.79, 2 U 2.86-2.92
Br: 0.1458 0.2682 0.4852  2 U 2.88-2.89, 1 H 3.00
Br: 0.1458 0.7318 0.9852  2 U 2.88-2.89, 1 H 3.00
Br: 0.7727 0.7267 0.2016  1 H 2.79, 2 U 2.86-2.92
H: 0.1108 0.3282 0.2764  1 H 1.80
H: 0.8892 0.3282 0.2236  1 H 1.80
H: 0.8892 0.6718 0.7236  1 H 1.80
H: 0.1108 0.6718 0.7764  1 H 1.80

Output
M_tot = 0.40 μB/atom
Relative energy among the computed polymorphs = 0 meV/atom
Energy = -4.85 eV/atom
Space group = P2/c

Material: UH2Br8
Method: DFT, PBE-GGA
State: relaxed

abc: 7.2303 8.0988 8.0988
angles: 70.12 88.53 88.53
With the nearest neighbours (Å) after each atom.
Fractional positions:
Br: 0.6698 0.3818 0.3818  1 H 1.44
Br: 0.8168 0.9017 0.3032  1 U 2.64
Br: 0.3302 0.6182 0.6182  1 H 1.44
Br: 0.1832 0.0983 0.6968  1 U 2.64
Br: 0.7439 0.8633 0.8633  1 U 2.63
Br: 0.2561 0.1367 0.1367  1 U 2.63
Br: 0.1832 0.6968 0.0983  1 U 2.64
Br: 0.8168 0.3032 0.9017  1 U 2.64
H: 0.7073 0.2746 0.2746  1 Br 1.44
H: 0.2927 0.7254 0.7254  1 Br 1.44
U: 0.0000 0.0000 0.0000  6 Br 2.63-2.64

Output
M_tot = 0.00 μB/atom
Energy = -3.63 eV/atom
Space group = C2/m

Material: UH2Br3
Method: DFT, PBE-GGA
State: relaxed

abc: 8.1816 8.1816 7.0152
angles: 90.00 90.00 120.00
With the nearest neighbours (Å) after each atom.
Fractional positions:
H: 0.6667 0.3333 0.0370  1 H 2.99, 3 Br 3.16
H: 0.3333 0.6667 0.5370  1 H 2.99, 3 Br 3.16
H: 0.6667 0.3333 0.4630  1 H 2.99, 3 Br 3.16
H: 0.3333 0.6667 0.9630  1 H 2.99, 3 Br 3.16
Br: 0.8381 0.6761 0.7500  2 U 2.89, 2 H 3.16
Br: 0.1619 0.3239 0.2500  2 U 2.89, 2 H 3.16
Br: 0.6761 0.8381 0.2500  2 U 2.89, 2 H 3.16
Br: 0.1619 0.8381 0.2500  2 U 2.89, 2 H 3.16
Br: 0.8381 0.1619 0.7500  2 U 2.89, 2 H 3.16
Br: 0.3239 0.1619 0.7500  2 U 2.89, 2 H 3.16
U: 0.0000 0.0000 0.0000  6 Br 2.89
U: 0.0000 0.0000 0.5000  6 Br 2.89

Output
M_tot = 0.83 μB/atom
Energy = -3.92 eV/atom
Space group = P6_3/mmc